The following is a DFT calculation (PBE-GGA) of an optimized crystal structure of InCuO2F.

Values from the calculation:
- formation energy without anion corrections (eV per atom) = -0.626
- total DFT energy (no corrections) (eV per atom) = -4.350
- M_tot (μB per formula unit) = 0.00

abc: 4.1283 4.1283 4.1912
angles: 90.00 90.00 90.00
Last column: nearest neighbours and their distance in Å.
Element x y z (fractional)
In: 0.0000 0.0000 0.0000  4 O 2.06, 2 F 2.10
Cu: 0.5000 0.5000 0.5000  4 F 2.92, 8 O 2.94
O: 0.0000 0.5000 0.0000  2 In 2.06
O: 0.5000 0.0000 0.0000  2 In 2.06
F: 0.0000 0.0000 0.5000  2 In 2.10